# DyErBC2 GGA-PBE optimized geometry
data_DyErBC2
_chemical_formula_sum 'Dy2 Er2 B2 C4'
_cell_length_a 3.594
_cell_length_b 3.594
_cell_length_c 10.966
_cell_angle_alpha 90.00
_cell_angle_beta 90.00
_cell_angle_gamma 90.00
_space_group_name_H-M_alt 'I 4 m m'
_space_group_IT_number 107
_space_group_name_Hall 'I 4 -2'
loop_
_atom_site_label
_atom_site_type_symbol
_atom_site_fract_x
_atom_site_fract_y
_atom_site_fract_z
Dy1 Dy 0.000 0.000 0.000
Er1 Er 0.000 0.000 0.703
B1 B 0.000 0.000 0.352
C1 C 0.000 0.000 0.216
C2 C 0.000 0.000 0.488
# Total moment ... 0.0 Bohr magnetons per cell
# ρ ... 8.55 Mg/m³
# Calculated total energy ... -7.322 eV/atom